No. 1
# GdYSi2Au2

Crystalline GdYSi2Au2 at its relaxed geometry (PBE-GGA, OQMD via LeMat-Bulk). Values from VASP.

Quantum ESPRESSO input file:
```
&SYSTEM
  ibrav = 0, nat = 6, ntyp = 4
/
ATOMIC_SPECIES
Gd 157.25 Gd.upf
Y 88.91 Y.upf
Si 28.09 Si.upf
Au 196.97 Au.upf
CELL_PARAMETERS angstrom
4.332 0.000 0.000
-2.166 3.751 0.000
0.000 0.000 7.708
ATOMIC_POSITIONS angstrom
Gd 0.000 0.000 0.000
Y 0.000 0.000 3.854
Si 0.000 2.501 5.580
Si 2.166 1.250 1.728
Au 0.000 2.501 2.046
Au 2.166 1.250 5.895
```


No. 2
! SmGdAu2 | OQMD via LeMat-Bulk | PBE-GGA | relaxed; values from VASP
! E_form	-850	meV per atom
&SYSTEM
  ibrav = 0, nat = 8, ntyp = 3
/
ATOMIC_SPECIES
Sm 150.36 Sm.upf
Gd 157.25 Gd.upf
Au 196.97 Au.upf
CELL_PARAMETERS angstrom
4.708 0.000 0.000
0.000 3.756 0.000
0.000 0.000 11.084
ATOMIC_POSITIONS angstrom
Sm 0.000 0.000 0.000
Sm 0.000 1.878 5.542
Gd 2.354 0.000 7.988
Gd 2.354 1.878 2.446
Au 0.000 0.000 3.008
Au 0.000 1.878 8.550
Au 2.354 0.000 4.977
Au 2.354 1.878 10.520


No. 3
! SmGdAu6 | OQMD via LeMat-Bulk | PBE-GGA | relaxed; values from VASP
! E_form	-708	meV per atom
&SYSTEM
  ibrav = 0, nat = 8, ntyp = 3
/
ATOMIC_SPECIES
Sm 150.36 Sm.upf
Gd 157.25 Gd.upf
Au 196.97 Au.upf
CELL_PARAMETERS angstrom
5.071 0.000 0.000
0.000 6.279 0.000
0.000 0.000 5.166
ATOMIC_POSITIONS angstrom
Sm 0.000 0.000 0.000
Gd 2.536 3.139 1.623
Au 0.000 1.637 2.560
Au 0.000 3.139 5.107
Au 0.000 4.642 2.560
Au 2.536 0.000 1.714
Au 2.536 1.540 4.233
Au 2.536 4.739 4.233


| no. | total DFT energy (no corrections) (eV per cell) | total magnetization (μB per atom) |
| --- | --- | --- |
| 1 | -33.5 | 0.0036 |
| 2 | -38.6 | 0.0013 |
| 3 | -34.6 | 0.0007 |